Entry 1:
Entry from Alexandria: an optimized crystal structure of BaCa2Cd (GGA-PBE).

```
BaCa2Cd
1.0
4.055 0.000 0.000
0.000 4.055 0.000
0.000 0.000 9.738
Ba Ca Cd
1 2 1
Direct
0.000 0.000 0.000
0.000 0.000 0.596
0.500 0.500 0.327
0.500 0.500 0.765
```

---

Entry 2:
Entry from Alexandria: an optimized crystal structure of BaCaCd (GGA-PBE).

```
BaCaCd
1.0
5.730 0.000 0.000
-2.865 4.963 0.000
0.000 0.000 4.250
Ba Ca Cd
1 1 1
Direct
0.000 0.000 0.000
0.667 0.333 0.501
0.333 0.667 0.498
```

---

Entry 3:
Entry from Alexandria: an optimized crystal structure of BaCa5Cd6 (GGA-PBE).

```
BaCa5Cd6
1.0
5.588 0.000 0.000
0.000 7.711 0.000
-2.798 0.000 8.355
Ba Ca Cd
1 5 6
Direct
0.000 0.000 0.000
0.000 0.500 0.000
0.330 0.000 0.664
0.334 0.500 0.673
0.666 0.500 0.327
0.670 0.000 0.336
0.177 0.262 0.347
0.177 0.738 0.347
0.500 0.267 0.000
0.500 0.733 0.000
0.823 0.262 0.653
0.823 0.738 0.653
```

---

Entry 4:
Entry from Alexandria: an optimized crystal structure of BaCa5Cd2 (GGA-PBE).

```
BaCa5Cd2
1.0
4.684 0.000 0.000
0.000 10.276 0.000
0.000 0.000 13.125
Ba Ca Cd
2 10 4
Direct
0.000 0.000 0.000
0.500 0.500 0.500
0.000 0.194 0.346
0.000 0.194 0.654
0.000 0.500 0.000
0.000 0.806 0.346
0.000 0.806 0.654
0.500 0.000 0.500
0.500 0.306 0.154
0.500 0.306 0.846
0.500 0.694 0.154
0.500 0.694 0.846
0.000 0.500 0.259
0.000 0.500 0.741
0.500 0.000 0.241
0.500 0.000 0.759
```

---

Entry 5:
Entry from Alexandria: an optimized crystal structure of BaCa2Cd (GGA-PBE).

```
BaCa2Cd
1.0
4.133 0.000 0.000
-2.067 3.580 0.000
0.000 0.000 34.246
Ba Ca Cd
3 6 3
Direct
0.000 0.000 0.000
0.333 0.667 0.667
0.667 0.333 0.333
0.000 0.000 0.231
0.000 0.000 0.769
0.333 0.667 0.436
0.333 0.667 0.897
0.667 0.333 0.103
0.667 0.333 0.564
0.000 0.000 0.500
0.333 0.667 0.167
0.667 0.333 0.833
```

---

Entry 6:
Entry from Alexandria: an optimized crystal structure of BaCa2Cd (GGA-PBE).

```
BaCa2Cd
1.0
7.397 0.000 0.000
0.000 12.690 0.000
-1.807 0.000 3.412
Ba Ca Cd
2 4 2
Direct
0.000 0.000 0.000
0.500 0.500 0.000
0.250 0.250 0.500
0.250 0.750 0.500
0.750 0.250 0.500
0.750 0.750 0.500
0.000 0.500 0.000
0.500 0.000 0.000
```

---

Entry 7:
Entry from Alexandria: an optimized crystal structure of BaCa2Cd (GGA-PBE).

```
BaCa2Cd
1.0
5.334 0.000 0.000
0.000 12.655 0.000
0.000 0.000 9.768
Ba Ca Cd
4 8 4
Direct
0.000 0.058 0.250
0.000 0.942 0.750
0.500 0.442 0.750
0.500 0.558 0.250
0.000 0.347 0.057
0.000 0.347 0.443
0.000 0.653 0.557
0.000 0.653 0.943
0.500 0.153 0.557
0.500 0.153 0.943
0.500 0.847 0.057
0.500 0.847 0.443
0.000 0.228 0.750
0.000 0.772 0.250
0.500 0.272 0.250
0.500 0.728 0.750
```

---

Entry 8:
Entry from Alexandria: an optimized crystal structure of Ba4Ca3Cd (GGA-PBE).

```
Ba4Ca3Cd
1.0
4.313 0.000 0.000
0.000 4.313 0.000
0.000 0.000 21.130
Ba Ca Cd
4 3 1
Direct
0.000 0.000 0.096
0.000 0.000 0.368
0.000 0.000 0.632
0.000 0.000 0.904
0.500 0.500 0.234
0.500 0.500 0.500
0.500 0.500 0.766
0.500 0.500 0.000
```

---

Entry 9:
Entry from Alexandria: an optimized crystal structure of BaCa2Cd (GGA-PBE).

```
BaCa2Cd
1.0
5.194 0.000 0.000
0.000 5.194 0.000
0.000 0.000 5.832
Ba Ca Cd
1 2 1
Direct
0.000 0.000 0.000
0.000 0.500 0.500
0.500 0.000 0.500
0.500 0.500 0.000
```

---

Entry 10:
Entry from Alexandria: an optimized crystal structure of BaCa2Cd4 (GGA-PBE).

```
BaCa2Cd4
1.0
4.164 0.000 0.000
0.000 5.007 0.000
0.000 0.000 21.325
Ba Ca Cd
2 4 8
Direct
0.000 0.000 0.000
0.500 0.500 0.500
0.000 0.500 0.193
0.000 0.500 0.807
0.500 0.000 0.307
0.500 0.000 0.693
0.000 0.000 0.428
0.000 0.000 0.572
0.000 0.500 0.350
0.000 0.500 0.650
0.500 0.000 0.150
0.500 0.000 0.850
0.500 0.500 0.072
0.500 0.500 0.928
```

---

Entry 11:
Entry from Alexandria: an optimized crystal structure of Ba2Ca2Cd (GGA-PBE).

```
Ba2Ca2Cd
1.0
8.403 0.000 0.000
0.000 8.403 0.000
0.000 0.000 6.521
Ba Ca Cd
4 4 2
Direct
0.177 0.323 0.000
0.323 0.823 0.000
0.677 0.177 0.000
0.823 0.677 0.000
0.153 0.653 0.500
0.347 0.153 0.500
0.653 0.847 0.500
0.847 0.347 0.500
0.000 0.000 0.500
0.500 0.500 0.500
```

---

Entry 12:
Entry from Alexandria: an optimized crystal structure of BaCa2Cd (GGA-PBE).

```
BaCa2Cd
1.0
5.696 0.000 0.000
0.000 5.696 0.000
0.000 0.000 19.889
Ba Ca Cd
4 8 4
Direct
0.000 0.000 0.146
0.000 0.000 0.854
0.500 0.500 0.354
0.500 0.500 0.646
0.000 0.000 0.347
0.000 0.000 0.653
0.000 0.500 0.000
0.000 0.500 0.500
0.500 0.000 0.000
0.500 0.000 0.500
0.500 0.500 0.153
0.500 0.500 0.847
0.000 0.500 0.250
0.000 0.500 0.750
0.500 0.000 0.250
0.500 0.000 0.750
```

---

Entry 13:
Entry from Alexandria: an optimized crystal structure of Ba2Ca3Cd2 (GGA-PBE).

```
Ba2Ca3Cd2
1.0
4.126 0.000 0.000
0.000 33.883 0.000
0.000 0.000 4.007
Ba Ca Cd
4 6 4
Direct
0.000 0.191 0.000
0.000 0.809 0.000
0.500 0.309 0.000
0.500 0.691 0.000
0.000 0.076 0.000
0.000 0.500 0.500
0.000 0.924 0.000
0.500 0.000 0.500
0.500 0.424 0.000
0.500 0.576 0.000
0.000 0.376 0.500
0.000 0.624 0.500
0.500 0.124 0.500
0.500 0.876 0.500
```

---

Entry 14:
Entry from Alexandria: an optimized crystal structure of BaCaCd (GGA-PBE).

```
BaCaCd
1.0
8.184 0.000 0.000
0.000 8.184 0.000
0.000 0.000 8.184
Ba Ca Cd
4 4 4
Direct
0.000 0.000 0.000
0.000 0.500 0.500
0.500 0.000 0.500
0.500 0.500 0.000
0.250 0.250 0.250
0.250 0.750 0.750
0.750 0.250 0.750
0.750 0.750 0.250
0.250 0.250 0.750
0.250 0.750 0.250
0.750 0.250 0.250
0.750 0.750 0.750
```

---

Entry 15:
Entry from Alexandria: an optimized crystal structure of BaCaCd6 (GGA-PBE).

```
BaCaCd6
1.0
4.942 0.000 0.000
0.000 6.939 0.000
0.000 0.000 6.635
Ba Ca Cd
1 1 6
Direct
0.000 0.000 0.000
0.500 0.500 0.217
0.000 0.265 0.469
0.000 0.500 0.876
0.000 0.735 0.469
0.500 0.000 0.401
0.500 0.281 0.743
0.500 0.719 0.743
```

---

Entry 16:
Entry from Alexandria: an optimized crystal structure of Ba5Ca2Cd (GGA-PBE).

```
Ba5Ca2Cd
1.0
10.135 0.000 0.000
0.000 19.134 0.000
0.000 0.000 4.257
Ba Ca Cd
10 4 2
Direct
0.000 0.000 0.000
0.012 0.226 0.000
0.200 0.392 0.500
0.300 0.892 0.500
0.488 0.726 0.000
0.500 0.500 0.000
0.512 0.274 0.000
0.700 0.108 0.500
0.800 0.608 0.500
0.988 0.774 0.000
0.184 0.604 0.500
0.316 0.104 0.500
0.684 0.896 0.500
0.816 0.396 0.500
0.000 0.500 0.000
0.500 0.000 0.000
```

---

Entry 17:
Entry from Alexandria: an optimized crystal structure of BaCa3Cd2 (GGA-PBE).

```
BaCa3Cd2
1.0
7.364 0.000 0.000
0.000 12.923 0.000
0.000 0.000 5.036
Ba Ca Cd
2 6 4
Direct
0.000 0.000 0.000
0.500 0.500 0.000
0.000 0.500 0.500
0.250 0.250 0.500
0.250 0.750 0.500
0.500 0.000 0.500
0.750 0.250 0.500
0.750 0.750 0.500
0.000 0.335 0.000
0.000 0.665 0.000
0.500 0.165 0.000
0.500 0.835 0.000
```

---

Entry 18:
Entry from Alexandria: an optimized crystal structure of BaCaCd17 (GGA-PBE).

```
BaCaCd17
1.0
5.155 2.976 5.044
-5.155 2.976 5.044
0.000 -5.953 5.044
Ba Ca Cd
1 1 17
Direct
0.000 0.000 0.000
0.672 0.672 0.672
0.038 0.340 0.633
0.038 0.633 0.340
0.195 0.688 0.688
0.243 0.243 0.243
0.326 0.326 0.850
0.326 0.850 0.326
0.340 0.038 0.633
0.340 0.633 0.038
0.445 0.445 0.445
0.515 0.971 0.971
0.633 0.038 0.340
0.633 0.340 0.038
0.688 0.195 0.688
0.688 0.688 0.195
0.850 0.326 0.326
0.971 0.515 0.971
0.971 0.971 0.515
```

---

Entry 19:
Entry from Alexandria: an optimized crystal structure of BaCa4Cd4 (GGA-PBE).

```
BaCa4Cd4
1.0
10.453 0.000 0.000
0.000 10.453 0.000
0.000 0.000 6.327
Ba Ca Cd
2 8 8
Direct
0.250 0.250 0.250
0.750 0.750 0.750
0.100 0.644 0.140
0.144 0.900 0.640
0.356 0.600 0.640
0.400 0.856 0.140
0.600 0.144 0.860
0.644 0.400 0.360
0.856 0.100 0.360
0.900 0.356 0.860
0.048 0.597 0.642
0.097 0.952 0.142
0.403 0.548 0.142
0.452 0.903 0.642
0.548 0.097 0.358
0.597 0.452 0.858
0.903 0.048 0.858
0.952 0.403 0.358
```

---

Entry 20:
Entry from Alexandria: an optimized crystal structure of Ba5CaCd (GGA-PBE).

```
Ba5CaCd
1.0
5.351 -4.812 0.000
5.351 4.812 0.000
-3.293 0.000 14.631
Ba Ca Cd
10 2 2
Direct
0.044 0.956 0.750
0.084 0.422 0.625
0.201 0.505 0.923
0.422 0.084 0.125
0.495 0.799 0.577
0.505 0.201 0.423
0.578 0.916 0.875
0.799 0.495 0.077
0.916 0.578 0.375
0.956 0.044 0.250
0.376 0.624 0.250
0.624 0.376 0.750
0.000 0.000 0.000
0.000 0.000 0.500
```

---

Entry 21:
Entry from Alexandria: an optimized crystal structure of BaCa2Cd (GGA-PBE).

```
BaCa2Cd
1.0
13.502 0.000 0.000
0.000 4.324 0.000
-2.726 0.000 5.433
Ba Ca Cd
2 4 2
Direct
0.000 0.000 0.000
0.500 0.500 0.000
0.070 0.500 0.570
0.288 0.500 0.289
0.570 0.000 0.570
0.788 0.000 0.289
0.268 0.000 0.772
0.768 0.500 0.772
```

---

Entry 22:
Entry from Alexandria: an optimized crystal structure of Ba3Ca2Cd3 (GGA-PBE).

```
Ba3Ca2Cd3
1.0
4.118 0.000 0.000
0.000 6.166 0.000
0.000 0.000 24.821
Ba Ca Cd
6 4 6
Direct
0.000 0.000 0.000
0.000 0.500 0.120
0.000 0.500 0.880
0.500 0.000 0.380
0.500 0.000 0.620
0.500 0.500 0.500
0.000 0.000 0.229
0.000 0.000 0.771
0.500 0.500 0.271
0.500 0.500 0.729
0.000 0.000 0.500
0.000 0.500 0.376
0.000 0.500 0.624
0.500 0.000 0.124
0.500 0.000 0.876
0.500 0.500 0.000
```

---

Entry 23:
Entry from Alexandria: an optimized crystal structure of BaCaCd (GGA-PBE).

```
BaCaCd
1.0
4.103 0.000 0.000
0.000 4.103 0.000
0.000 0.000 14.029
Ba Ca Cd
2 2 2
Direct
0.000 0.000 0.000
0.500 0.500 0.500
0.000 0.000 0.275
0.500 0.500 0.775
0.000 0.000 0.661
0.500 0.500 0.161
```

---

Entry 24:
Entry from Alexandria: an optimized crystal structure of BaCaCd (GGA-PBE).

```
BaCaCd
1.0
7.949 0.000 0.000
0.000 7.949 0.000
0.000 0.000 7.949
Ba Ca Cd
4 4 4
Direct
0.000 0.000 0.000
0.000 0.500 0.500
0.500 0.000 0.500
0.500 0.500 0.000
0.250 0.250 0.250
0.250 0.750 0.750
0.750 0.250 0.750
0.750 0.750 0.250
0.000 0.000 0.500
0.000 0.500 0.000
0.500 0.000 0.000
0.500 0.500 0.500
```

---

Entry 25:
Entry from Alexandria: an optimized crystal structure of BaCa2Cd6 (GGA-PBE).

```
BaCa2Cd6
1.0
-1.997 4.357 7.640
1.997 -4.357 7.640
1.997 4.357 -7.640
Ba Ca Cd
1 2 6
Direct
0.000 0.000 0.000
0.359 0.859 0.500
0.641 0.141 0.500
0.006 0.323 0.683
0.332 0.500 0.832
0.360 0.677 0.683
0.640 0.323 0.317
0.668 0.500 0.168
0.994 0.677 0.317
```

---

We obtain formation energy values of -158, -111, -332, -128, -64, -3, -170, -58, -64, -309, 1, -155, -175, 345, -253, -28, -225, -157, -173, 13, -85, -241, -215, 213, -262 meV per atom for the records listed above, in that order.